Here is a relaxed structure of Sm7Y3Ho2 from Alexandria via LeMat-Bulk. Energies are from PBE-GGA.

Cell and atoms, written as POSCAR:
```
Sm7Y3Ho2
1.0
3.631 0.000 0.000
0.000 5.770 0.000
0.000 -2.885 19.022
Sm Y Ho
7 3 2
direct
0.000 0.593 0.185
0.500 0.928 0.855
0.000 0.000 0.000
0.500 0.072 0.145
0.000 0.232 0.464
0.000 0.768 0.536
0.000 0.407 0.815
0.500 0.316 0.631
0.500 0.684 0.369
0.500 0.500 0.000
0.000 0.852 0.703
0.000 0.148 0.297
```

- total moment (μB per cell) = 0.000
- space-group type = Cmmm, No. 65
- formation energy from the elements (eV/atom) = 0.1040
- final energy (eV/atom) = -5.028

---

Here is a relaxed structure of Sm6YHo2 from Alexandria via LeMat-Bulk. Energies are from PBE-GGA.

Cell and atoms, written as POSCAR:
```
Sm6YHo2
1.0
-4.195 -2.770 3.755
-8.132 -4.903 -5.165
2.744 -9.928 3.279
Sm Ho Y
12 4 2
direct
0.097 0.563 0.325
0.182 0.010 0.578
0.597 0.325 0.563
0.682 0.578 0.010
0.237 0.063 0.151
0.263 0.849 0.937
0.737 0.151 0.063
0.818 0.990 0.422
0.903 0.437 0.675
0.403 0.675 0.437
0.318 0.422 0.990
0.763 0.937 0.849
0.797 0.371 0.235
0.703 0.765 0.629
0.203 0.629 0.765
0.297 0.235 0.371
0.250 0.180 0.820
0.750 0.820 0.180
```

- total moment (μB per cell) = 0.000
- space-group type = C2/c, No. 15
- formation energy from the elements (eV/atom) = 0.2136
- final energy (eV/atom) = -4.668

---

Here is a relaxed structure of Sm2Y4Ho7 from Alexandria via LeMat-Bulk. Energies are from PBE-GGA.

Cell and atoms, written as POSCAR:
```
Sm2Y4Ho7
1.0
6.045 -0.027 -0.882
-2.976 5.967 0.629
-1.355 0.399 11.841
Y Ho Sm
4 7 2
direct
0.230 0.690 0.463
0.690 0.231 0.539
0.079 0.155 0.384
0.845 0.772 0.615
0.458 0.845 0.765
0.073 0.898 0.911
0.309 0.307 0.693
0.619 0.616 0.312
0.470 0.086 0.245
0.909 0.377 0.833
0.037 0.565 0.165
0.477 0.440 0.996
0.803 0.018 0.080
```

- total moment (μB per cell) = 0.000
- space-group type = P1, No. 1
- formation energy from the elements (eV/atom) = 0.0561
- final energy (eV/atom) = -5.124

---

Here is a relaxed structure of Sm4YHo from Alexandria via LeMat-Bulk. Energies are from PBE-GGA.

Cell and atoms, written as POSCAR:
```
Sm4YHo
1.0
6.634 0.000 0.000
3.317 5.745 0.000
3.317 1.915 5.417
Sm Y Ho
4 1 1
direct
0.625 0.625 0.625
0.625 0.125 0.625
0.625 0.625 0.125
0.125 0.625 0.625
0.250 0.250 0.250
0.000 0.000 0.000
```

- total moment (μB per cell) = 0.000
- space-group type = F-43m, No. 216
- formation energy from the elements (eV/atom) = 0.2469
- final energy (eV/atom) = -4.740

---

Here is a relaxed structure of SmY5Ho2 from Alexandria via LeMat-Bulk. Energies are from PBE-GGA.

Cell and atoms, written as POSCAR:
```
SmY5Ho2
1.0
-2.147 -4.372 -1.261
4.547 -0.658 -5.462
9.163 -6.941 8.464
Y Ho Sm
10 4 2
direct
0.000 0.001 0.250
0.000 0.501 0.250
0.000 0.000 0.000
0.000 0.999 0.750
0.500 0.250 0.875
0.500 0.750 0.125
0.000 0.499 0.750
0.000 0.500 0.500
0.500 0.750 0.625
0.500 0.250 0.375
0.500 0.749 0.875
0.500 0.751 0.375
0.500 0.251 0.125
0.500 0.249 0.625
0.000 0.000 0.500
0.000 0.500 0.000
```

- total moment (μB per cell) = 0.000
- space-group type = Pbam, No. 55
- formation energy from the elements (eV/atom) = 0.0204
- final energy (eV/atom) = -5.754

---

Here is a relaxed structure of Sm4Y2Ho from Alexandria via LeMat-Bulk. Energies are from PBE-GGA.

Cell and atoms, written as POSCAR:
```
Sm4Y2Ho
1.0
6.271 0.000 -0.314
0.000 6.593 0.000
-2.460 0.000 11.305
Y Sm Ho
4 8 2
direct
0.293 0.250 0.421
0.385 0.250 0.007
0.615 0.750 0.993
0.707 0.750 0.579
0.954 0.250 0.134
0.346 0.009 0.715
0.346 0.491 0.715
0.146 0.750 0.452
0.654 0.991 0.285
0.854 0.250 0.548
0.046 0.750 0.866
0.654 0.509 0.285
0.156 0.750 0.166
0.844 0.250 0.834
```

- total moment (μB per cell) = 0.000
- space-group type = P2_1/m, No. 11
- formation energy from the elements (eV/atom) = 0.1227
- final energy (eV/atom) = -5.075

---

Here is a relaxed structure of Sm8YHo2 from Alexandria via LeMat-Bulk. Energies are from PBE-GGA.

Cell and atoms, written as POSCAR:
```
Sm8YHo2
1.0
-3.129 -0.202 8.737
-0.362 -6.257 7.928
3.538 -0.127 9.466
Sm Ho Y
8 2 1
direct
0.861 0.649 0.212
0.725 0.325 0.325
0.376 0.313 0.313
0.624 0.687 0.687
0.275 0.675 0.675
0.139 0.788 0.351
0.861 0.212 0.649
0.139 0.351 0.788
0.341 0.142 0.142
0.659 0.858 0.858
0.000 0.000 0.000
```

- total moment (μB per cell) = 0.000
- space-group type = C2/m, No. 12
- formation energy from the elements (eV/atom) = 0.1237
- final energy (eV/atom) = -4.728

---

Here is a relaxed structure of SmYHo5 from Alexandria via LeMat-Bulk. Energies are from PBE-GGA.

Cell and atoms, written as POSCAR:
```
SmYHo5
1.0
6.144 0.139 2.745
2.324 5.689 2.745
1.038 0.714 13.619
Ho Sm Y
10 2 2
direct
0.690 0.653 0.000
0.653 0.690 0.500
0.609 0.834 0.748
0.837 0.163 0.250
0.834 0.609 0.248
0.166 0.391 0.752
0.347 0.310 0.500
0.310 0.347 0.000
0.391 0.166 0.252
0.163 0.837 0.750
0.277 0.723 0.250
0.723 0.277 0.750
0.000 0.000 0.500
0.000 0.000 0.000
```

- total moment (μB per cell) = 0.005
- space-group type = C2/c, No. 15
- formation energy from the elements (eV/atom) = 0.1890
- final energy (eV/atom) = -4.678

---

Here is a relaxed structure of SmYHo14 from Alexandria via LeMat-Bulk. Energies are from PBE-GGA.

Cell and atoms, written as POSCAR:
```
SmYHo14
1.0
7.050 -0.851 0.000
-2.784 6.532 0.000
0.000 0.000 11.419
Y Ho Sm
1 14 1
direct
0.708 0.292 0.500
0.042 0.958 0.000
0.375 0.125 0.752
0.375 0.125 0.248
0.542 0.958 0.000
0.042 0.458 0.000
0.375 0.625 0.751
0.708 0.792 0.500
0.875 0.125 0.751
0.375 0.625 0.249
0.208 0.292 0.500
0.875 0.125 0.249
0.875 0.625 0.752
0.875 0.625 0.248
0.542 0.458 0.000
0.208 0.792 0.500
```

- total moment (μB per cell) = 0.000
- space-group type = Amm2, No. 38
- formation energy from the elements (eV/atom) = 0.0053
- final energy (eV/atom) = -4.699

---

Here is a relaxed structure of Sm4Y3Ho3 from Alexandria via LeMat-Bulk. Energies are from PBE-GGA.

Cell and atoms, written as POSCAR:
```
Sm4Y3Ho3
1.0
3.783 0.000 0.000
0.000 9.306 -0.043
0.000 0.039 9.306
Sm Y Ho
4 3 3
direct
0.000 0.129 0.131
0.000 0.869 0.871
0.000 0.371 0.629
0.000 0.630 0.370
0.000 0.000 0.500
0.000 0.500 0.000
0.500 0.169 0.831
0.500 0.331 0.331
0.500 0.831 0.169
0.500 0.669 0.669
```

- total moment (μB per cell) = 0.000
- space-group type = Amm2, No. 38
- formation energy from the elements (eV/atom) = 0.0833
- final energy (eV/atom) = -5.117

---

Here is a relaxed structure of Sm8Y4Ho from Alexandria via LeMat-Bulk. Energies are from PBE-GGA.

Cell and atoms, written as POSCAR:
```
Sm8Y4Ho
1.0
9.789 -0.001 -5.281
-6.319 9.154 -0.001
-2.378 -1.641 7.305
Y Sm Ho
4 8 1
direct
0.000 0.000 0.000
0.500 0.500 0.000
0.000 0.500 0.000
0.500 0.000 0.000
0.001 0.759 0.760
0.482 0.241 0.240
0.999 0.241 0.240
0.482 0.241 0.723
0.001 0.242 0.760
0.518 0.759 0.760
0.999 0.758 0.240
0.518 0.759 0.277
0.000 0.500 0.500
```

- total moment (μB per cell) = 0.002
- space-group type = R-3m, No. 166
- formation energy from the elements (eV/atom) = 0.4969
- final energy (eV/atom) = -4.748

---

Here is a relaxed structure of Sm3Y6Ho from Alexandria via LeMat-Bulk. Energies are from PBE-GGA.

Cell and atoms, written as POSCAR:
```
Sm3Y6Ho
1.0
6.429 0.000 0.000
0.000 10.104 -5.773
0.000 -2.271 11.413
Y Sm Ho
12 6 2
direct
0.567 0.621 0.744
0.567 0.256 0.379
0.067 0.744 0.621
0.294 0.698 0.302
0.067 0.379 0.256
0.328 0.457 0.895
0.794 0.302 0.698
0.828 0.543 0.105
0.815 0.013 0.987
0.328 0.105 0.543
0.828 0.895 0.457
0.315 0.987 0.013
0.594 0.579 0.421
0.488 0.961 0.703
0.488 0.297 0.039
0.094 0.421 0.579
0.988 0.703 0.961
0.988 0.039 0.297
0.516 0.840 0.160
0.016 0.160 0.840
```

- total moment (μB per cell) = 0.000
- space-group type = Cmc2_1, No. 36
- formation energy from the elements (eV/atom) = 0.1102
- final energy (eV/atom) = -5.642

---

Copy entry 4 word for word.
Here is a relaxed structure of Sm4YHo from Alexandria via LeMat-Bulk. Energies are from PBE-GGA.

Cell and atoms, written as POSCAR:
```
Sm4YHo
1.0
6.634 0.000 0.000
3.317 5.745 0.000
3.317 1.915 5.417
Sm Y Ho
4 1 1
direct
0.625 0.625 0.625
0.625 0.125 0.625
0.625 0.625 0.125
0.125 0.625 0.625
0.250 0.250 0.250
0.000 0.000 0.000
```

- total moment (μB per cell) = 0.000
- space-group type = F-43m, No. 216
- formation energy from the elements (eV/atom) = 0.2469
- final energy (eV/atom) = -4.740